# 1
A relaxed structure of Tb4Y11Er9. Source: the Alexandria database, functional GGA-PBE.

Summary:
For the energy of formation, the calculation gives 1.21 eV/f.u. Its crystal system is orthorhombic. Its space group is Cmmm (65).

Lattice parameters (Å, degrees): 3.670 15.035 15.035 112.90 90.00 90.00
Sites, in units of the cell vectors:
Tb: 0.500 0.554 0.756
Tb: 0.500 0.446 0.244
Tb: 0.500 0.756 0.554
Tb: 0.500 0.244 0.446
Y: 0.000 0.159 0.841
Y: 0.000 0.367 0.633
Y: 0.000 0.708 0.708
Y: 0.000 0.633 0.367
Y: 0.000 0.000 0.000
Y: 0.000 0.594 0.955
Y: 0.000 0.045 0.406
Y: 0.000 0.406 0.045
Y: 0.000 0.841 0.159
Y: 0.000 0.292 0.292
Y: 0.000 0.955 0.594
Er: 0.500 0.931 0.786
Er: 0.500 0.164 0.632
Er: 0.500 0.069 0.214
Er: 0.500 0.836 0.368
Er: 0.500 0.632 0.164
Er: 0.500 0.786 0.931
Er: 0.500 0.368 0.836
Er: 0.500 0.500 0.500
Er: 0.500 0.214 0.069


# 2
A relaxed structure of ReTc2P. Source: the Alexandria database, functional GGA-PBE.

Summary:
For the energy of formation, the calculation gives -0.35 eV/f.u. Its crystal system is orthorhombic. Its space group is Amm2 (38).

Lattice parameters (Å, degrees): 5.385 5.385 3.837 90.00 90.00 149.39
Sites, in units of the cell vectors:
Tc: 0.289 0.711 0.500
Tc: 0.930 0.070 0.000
Re: 0.559 0.441 0.500
P: 0.703 0.297 0.000


# 3
A relaxed structure of CaYMgIr. Source: the Alexandria database, functional GGA-PBE.

Summary:
For the energy of formation, the calculation gives -1.13 eV/f.u. Its crystal system is cubic. Its space group is F-43m (216).

Lattice parameters (Å, degrees): 5.047 5.047 5.047 60.00 60.00 60.00
Sites, in units of the cell vectors:
Ir: 0.000 0.000 0.000
Ca: 0.250 0.250 0.250
Mg: 0.500 0.500 0.500
Y: 0.750 0.750 0.750


# 4
A relaxed structure of PaCoIr. Source: the Alexandria database, functional GGA-PBE.

Summary:
For the energy of formation, the calculation gives -1.06 eV/f.u. Its crystal system is orthorhombic. Its space group is Pmma (51).

Lattice parameters (Å, degrees): 3.973 3.909 7.157 90.00 90.00 90.00
Sites, in units of the cell vectors:
Co: 0.000 0.000 0.500
Co: 0.000 0.000 0.000
Pa: 0.000 0.502 0.750
Pa: 0.000 0.498 0.250
Ir: 0.500 0.003 0.750
Ir: 0.500 0.997 0.250


# 5
A relaxed structure of K7H4O. Source: the Alexandria database, functional GGA-PBE.

Summary:
Its crystal system is monoclinic. Its space group is Cm (8).

Lattice parameters (Å, degrees): 3.907 7.233 14.281 115.14 90.00 105.67
Sites, in units of the cell vectors:
K: 0.328 0.656 0.924
K: 0.308 0.616 0.582
K: 0.937 0.873 0.217
K: 0.628 0.257 0.063
K: 0.751 0.502 0.361
K: 0.045 0.089 0.745
K: 0.515 0.029 0.500
H: 0.983 0.966 0.057
H: 0.295 0.590 0.215
H: 0.679 0.357 0.907
H: 0.119 0.237 0.385
O: 0.914 0.827 0.544


# 6
A relaxed structure of CaMn2P. Source: the Alexandria database, functional GGA-PBE.

Summary:
For the energy of formation, the calculation gives 0.64 eV/f.u. Its crystal system is tetragonal. Its space group is P4/mmm (123).

Lattice parameters (Å, degrees): 4.065 4.065 4.244 90.00 90.00 90.00
Sites, in units of the cell vectors:
Mn: 0.500 0.500 0.000
Mn: 0.000 0.000 0.000
Ca: 0.000 0.500 0.500
P: 0.500 0.000 0.500


Number 1: total magnetization 0.86 Bohr magnetons per cell, raw total energy -129.48 eV/cell. Number 2: total magnetization 0.00 Bohr magnetons per cell, raw total energy -38.94 eV/cell. Number 3: total magnetization 0.00 Bohr magnetons per cell, raw total energy -20.05 eV/cell. Number 4: total magnetization 0.00 Bohr magnetons per cell, raw total energy -53.05 eV/cell. Number 5: total magnetization 0.00 Bohr magnetons per cell, raw total energy -30.13 eV/cell. Number 6: total magnetization 7.65 Bohr magnetons per cell, raw total energy -25.11 eV/cell.